DFT (PBE) results for BeTcSb after structural relaxation.

a = 4.0610 Å, b = 4.0610 Å, c = 4.0610 Å
α = 60.00°, β = 60.00°, γ = 60.00°
With the nearest neighbours (Å) after each atom.
Atoms (fractional coordinates):
Be  0.0000  0.0000  0.0000  4 Sb 2.49, 4 Tc 2.49
Tc  0.2500  0.2500  0.2500  4 Be 2.49
Sb  0.7500  0.7500  0.7500  4 Be 2.49

Results
Energy relative to the lowest polymorph listed for this composition in meV/atom: 0.0

***

DFT (PBE) results for AcReSi after structural relaxation.

a = 4.6861 Å, b = 4.6861 Å, c = 4.6861 Å
α = 60.00°, β = 60.00°, γ = 60.00°
With the nearest neighbours (Å) after each atom.
Atoms (fractional coordinates):
Ac  0.0000  0.0000  0.0000  4 Si 2.87
Re  0.5000  0.5000  0.5000  4 Si 2.87
Si  0.2500  0.2500  0.2500  4 Ac 2.87, 4 Re 2.87

Results
Energy relative to the lowest polymorph listed for this composition in meV/atom: 174.9

***

DFT (PBE) results for TbY3Pd4 after structural relaxation.

a = 5.6128 Å, b = 4.5670 Å, c = 6.9669 Å
α = 90.00°, β = 90.01°, γ = 90.00°
With the nearest neighbours (Å) after each atom.
Atoms (fractional coordinates):
Tb  0.0000  0.0000  0.0000  7 Pd 2.91-3.03
Y  0.2857  0.5000  0.3646  7 Pd 2.92-3.03
Y  0.4998  0.5000  0.8640  7 Pd 2.92-3.02
Y  0.7854  0.0000  0.4997  7 Pd 2.92-3.03
Pd  0.2950  0.0000  0.6414  2 Pd 2.91, 6 Y 2.92-3.03, 1 Tb 3.00
Pd  0.4893  0.0000  0.1396  2 Tb 2.91-3.03, 2 Pd 2.92, 5 Y 2.98-3.01
Pd  0.7960  0.5000  0.2228  2 Pd 2.92, 5 Y 2.92-3.03, 2 Tb 2.99
Pd  0.9896  0.5000  0.7245  2 Pd 2.91, 5 Y 2.92-3.02, 2 Tb 2.98

Results
Calculated formation energy in eV per atom: -0.92

***

DFT (PBE) results for GdYTl2 after structural relaxation.

a = 3.5988 Å, b = 3.5988 Å, c = 8.4259 Å
α = 90.00°, β = 90.00°, γ = 90.00°
With the nearest neighbours (Å) after each atom.
Atoms (fractional coordinates):
Gd  0.0000  0.0000  0.0000  8 Tl 3.31, 4 Gd 3.60
Y  0.0000  0.0000  0.5000  8 Tl 3.29, 4 Y 3.60
Tl  0.5000  0.5000  0.2519  4 Y 3.29, 4 Gd 3.31, 4 Tl 3.60
Tl  0.5000  0.5000  0.7481  4 Y 3.29, 4 Gd 3.31, 4 Tl 3.60

***

DFT (PBE) results for RbCoSb after structural relaxation.

a = 4.8426 Å, b = 4.8426 Å, c = 4.8426 Å
α = 60.00°, β = 60.00°, γ = 60.00°
With the nearest neighbours (Å) after each atom.
Atoms (fractional coordinates):
Rb  0.0000  0.0000  0.0000  4 Co 2.97
Co  0.2500  0.2500  0.2500  4 Sb 2.97, 4 Rb 2.97
Sb  0.5000  0.5000  0.5000  4 Co 2.97

***

DFT (PBE) results for NaTmNi after structural relaxation.

a = 4.6775 Å, b = 4.6775 Å, c = 4.6775 Å
α = 60.00°, β = 60.00°, γ = 60.00°
With the nearest neighbours (Å) after each atom.
Atoms (fractional coordinates):
Na  0.0000  0.0000  0.0000  4 Tm 2.86
Tm  0.2500  0.2500  0.2500  4 Na 2.86, 4 Ni 2.86
Ni  0.5000  0.5000  0.5000  4 Tm 2.86

Results
Energy relative to the lowest polymorph listed for this composition in meV/atom: 0.0

***

DFT (PBE) results for ZnCd after structural relaxation.

a = 4.9223 Å, b = 5.8547 Å, c = 10.1689 Å
α = 90.00°, β = 90.00°, γ = 90.00°
With the nearest neighbours (Å) after each atom.
Atoms (fractional coordinates):
Zn  0.2500  0.0070  0.0792  7 Zn 2.66-2.95, 4 Cd 2.80-2.94
Zn  0.2500  0.2500  0.3175  2 Zn 2.81, 10 Cd 2.93-3.11
Zn  0.2500  0.2500  0.8579  6 Zn 2.66-2.95, 2 Cd 2.93
Zn  0.2500  0.4930  0.0792  7 Zn 2.66-2.95, 4 Cd 2.80-2.94
Zn  0.7500  0.5070  0.9208  7 Zn 2.66-2.95, 4 Cd 2.80-2.94
Zn  0.7500  0.7500  0.1421  6 Zn 2.66-2.95, 2 Cd 2.93
Zn  0.7500  0.7500  0.6825  2 Zn 2.81, 10 Cd 2.93-3.11
Zn  0.7500  0.9930  0.9208  7 Zn 2.66-2.95, 4 Cd 2.80-2.94
Cd  0.2500  0.0002  0.5872  8 Cd 2.92-3.17, 4 Zn 3.02-3.12
Cd  0.2500  0.4998  0.5872  8 Cd 2.92-3.17, 4 Zn 3.02-3.12
Cd  0.2500  0.7500  0.3112  6 Zn 2.80-3.00, 4 Cd 3.04
Cd  0.2500  0.7500  0.8461  10 Zn 2.81-2.97, 2 Cd 3.01
Cd  0.7500  0.9998  0.4128  8 Cd 2.92-3.17, 4 Zn 3.02-3.12
Cd  0.7500  0.2500  0.1539  10 Zn 2.81-2.97, 2 Cd 3.01
Cd  0.7500  0.2500  0.6888  6 Zn 2.80-3.00, 4 Cd 3.04
Cd  0.7500  0.5002  0.4128  8 Cd 2.92-3.17, 4 Zn 3.02-3.12

Results
Calculated formation energy in eV per atom: 0.07

***

DFT (PBE) results for Pr2I after structural relaxation.

a = 6.7238 Å, b = 6.7238 Å, c = 6.7238 Å
α = 60.00°, β = 60.00°, γ = 60.00°
With the nearest neighbours (Å) after each atom.
Atoms (fractional coordinates):
Pr  0.0000  0.0000  0.0000  6 Pr 3.36
Pr  0.0000  0.0000  0.5000  6 Pr 3.36
Pr  0.0000  0.5000  0.0000  6 Pr 3.36
Pr  0.5000  0.0000  0.0000  6 Pr 3.36
I  0.3750  0.3750  0.3750  12 Pr 3.94, 4 I 4.12
I  0.6250  0.6250  0.6250  12 Pr 3.94, 4 I 4.12

Results
Energy relative to the lowest polymorph listed for this composition in meV/atom: 0.0

***

no.,uncorrected energy (eV for the cell shown)
1,-17.04
2,-19.91
3,-52.05
4,-17.32
5,-10.19
6,-9.54
7,-16.23
8,-21.97